The following is a DFT calculation (GGA-PBE) of TlRe3Cl after structural relaxation.

The relative energy among the computed polymorphs is 1.4968 eV per atom. As for the uncorrected energy: -4.91 eV per atom. Its theoretical density is 8.327 g cm⁻³.

The structure belongs to space group Pm-3m (No. 221); the cell edges are 5.420, 5.420 and 5.420 Å and the angles 90.00°, 90.00° and 90.00°. The inequivalent atoms are Tl at (0.000, 0.000, 0.000), Re at (0.000, 0.000, 0.500) and Cl at (0.500, 0.500, 0.500).